DFT (PBE-GGA) results for crystalline Nd5Hg2Te2 at its relaxed geometry.

The formation energy from raw total energies comes out at -728 kJ/mol of formula units.

The structure belongs to space group Cmce (No. 64); the cell edges are 16.1648, 8.3949 and 8.1704 Å and the angles 90.00°, 90.00° and 90.00°. The asymmetric unit holds Nd at (0.0000, 0.0000, 0.0000), Nd at (0.1363, 0.1685, 0.3401), Hg at (0.0000, 0.1335, 0.6274) and Te at (0.1997, 0.0000, 0.0000).


DFT (PBE-GGA) results for crystalline PaGaSe2 at its relaxed geometry.

The formation energy from raw total energies comes out at -320 kJ/mol of formula units.

The structure belongs to space group R3m (No. 160, hexagonal axes); the cell edges are 3.9447, 3.9447 and 23.7932 Å and the angles 90.00°, 90.00° and 120.00°. The asymmetric unit holds Pa at (0.0000, 0.0000, 0.0000), Ga at (0.0000, 0.0000, 0.8336), Se at (0.0000, 0.0000, 0.4092) and Se at (0.0000, 0.0000, 0.5907).


DFT (PBE-GGA) results for crystalline BaLa3Ru at its relaxed geometry.

The value obtained for the energy relative to the elements is -0.56 eV/f.u.

The structure belongs to space group Pm (No. 6); the cell edges are 6.7704, 4.2748 and 6.7773 Å and the angles 90.00°, 100.72° and 90.00°. The asymmetric unit holds Ba at (0.0000, 0.0000, 0.0000), La at (0.0795, 0.5000, 0.4943), La at (0.5052, 0.5000, 0.9191), La at (0.5642, 0.0000, 0.4355) and Ru at (0.3091, 0.0000, 0.6896).


DFT (PBE-GGA) results for crystalline KSrAcI6 at its relaxed geometry.

The formation energy from raw total energies comes out at -1377 kJ/mol of formula units.

The structure belongs to space group P-31c (No. 163); the cell edges are 8.4703, 8.4703 and 15.4383 Å and the angles 90.00°, 90.00° and 120.00°. The asymmetric unit holds K at (0.0000, 0.0000, 0.0000), Sr at (0.3333, 0.6667, 0.2500), Ac at (0.3333, 0.6667, 0.7500) and I at (0.0023, 0.3609, 0.6295).


DFT (PBE-GGA) results for crystalline Li4ZrIn at its relaxed geometry.

The value obtained for the energy relative to the elements is 0.34 eV/f.u.

The structure belongs to space group F-43m (No. 216); the cell edges are 7.5338, 7.5338 and 7.5338 Å and the angles 90.00°, 90.00° and 90.00°. The asymmetric unit holds Li at (0.1253, 0.1253, 0.1253), Zr at (0.2500, 0.2500, 0.7500) and In at (0.0000, 0.0000, 0.5000).


DFT (PBE-GGA) results for crystalline Zr2Tl at its relaxed geometry.

The value obtained for the energy relative to the elements is 0.04 eV/f.u.

The structure belongs to space group I4/mcm (No. 140); the cell edges are 6.9818, 6.9818 and 5.8051 Å and the angles 90.00°, 90.00° and 90.00°. The asymmetric unit holds Zr at (0.1473, 0.3527, 0.0000) and Tl at (0.0000, 0.0000, 0.2500).


DFT (PBE-GGA) results for crystalline PmIn2Ag at its relaxed geometry.

The value obtained for the energy relative to the elements is -1.03 eV/f.u.

The structure belongs to space group P4/mmm (No. 123); the cell edges are 3.5883, 3.5883 and 7.5710 Å and the angles 90.00°, 90.00° and 90.00°. The asymmetric unit holds Pm at (0.0000, 0.0000, 0.0000), In at (0.5000, 0.5000, 0.2871) and Ag at (0.0000, 0.0000, 0.5000).


DFT (PBE-GGA) results for crystalline Zr2BeSi at its relaxed geometry.

The formation energy from raw total energies comes out at -124 kJ/mol of formula units.

The structure belongs to space group P4/mmm (No. 123); the cell edges are 4.2169, 4.2169 and 3.8100 Å and the angles 90.00°, 90.00° and 90.00°. The asymmetric unit holds Zr at (0.0000, 0.5000, 0.0000), Be at (0.0000, 0.0000, 0.5000) and Si at (0.5000, 0.5000, 0.5000).


DFT (PBE-GGA) results for crystalline TaVTe3 at its relaxed geometry.

The formation energy from raw total energies comes out at 332 kJ/mol of formula units.

The structure belongs to space group Pm-3m (No. 221); the cell edges are 5.4064, 5.4064 and 5.4064 Å and the angles 90.00°, 90.00° and 90.00°. The asymmetric unit holds Ta at (0.0000, 0.0000, 0.0000), V at (0.5000, 0.5000, 0.5000) and Te at (0.0000, 0.0000, 0.5000).


DFT (PBE-GGA) results for crystalline K2LaRu at its relaxed geometry.

The value obtained for the energy relative to the elements is 2.89 eV/f.u.

The structure belongs to space group P2/m (No. 10); the cell edges are 4.3744, 6.5593 and 4.3893 Å and the angles 90.00°, 97.57° and 90.00°. The asymmetric unit holds K at (0.2275, 0.0000, 0.2725), La at (0.5000, 0.5000, 0.0000) and Ru at (0.0000, 0.5000, 0.5000).


DFT (PBE-GGA) results for crystalline La2Pr5NdHo at its relaxed geometry.

The value obtained for the energy relative to the elements is 2.20 eV/f.u.

The structure belongs to space group I4/mcm (No. 140); the cell edges are 8.8393, 8.8393 and 16.5956 Å and the angles 90.00°, 90.00° and 90.00°. The asymmetric unit holds La at (0.1195, 0.3805, 0.0000), Pr at (0.0000, 0.0000, 0.0000), Pr at (0.2186, 0.2814, 0.3570), Nd at (0.0000, 0.0000, 0.2500) and Ho at (0.0000, 0.5000, 0.2500).


DFT (PBE-GGA) results for crystalline Ba8Zr at its relaxed geometry.

The value obtained for the energy relative to the elements is 2.27 eV/f.u.

The structure belongs to space group I4/mmm (No. 139); the cell edges are 13.8163, 13.8163 and 5.2465 Å and the angles 90.00°, 90.00° and 90.00°. The asymmetric unit holds Ba at (0.0000, 0.3284, 0.0000), Ba at (0.1500, 0.1500, 0.5000) and Zr at (0.0000, 0.0000, 0.0000).


DFT (PBE-GGA) results for crystalline LiCaTc at its relaxed geometry.

The value obtained for the energy relative to the elements is 0.58 eV/f.u.

The structure belongs to space group P-3m1 (No. 164); the cell edges are 4.1553, 4.1553 and 9.9632 Å and the angles 90.00°, 90.00° and 120.00°. The asymmetric unit holds Li at (0.3333, 0.6667, 0.4327), Ca at (0.0000, 0.0000, 0.2102) and Tc at (0.3333, 0.6667, 0.0187).


DFT (PBE-GGA) results for crystalline SrTl2Pd at its relaxed geometry.

The value obtained for the energy relative to the elements is -1.15 eV/f.u.

The structure belongs to space group P4/mmm (No. 123); the cell edges are 3.6497, 3.6497 and 7.6737 Å and the angles 90.00°, 90.00° and 90.00°. The asymmetric unit holds Sr at (0.0000, 0.0000, 0.0000), Tl at (0.5000, 0.5000, 0.3002) and Pd at (0.0000, 0.0000, 0.5000).


DFT (PBE-GGA) results for crystalline U2MnCoSi6 at its relaxed geometry.

The formation energy from raw total energies comes out at -286 kJ/mol of formula units.

The structure belongs to space group R-3m (No. 166, hexagonal axes); the cell edges are 5.7544, 5.7544 and 33.2654 Å and the angles 90.00°, 90.00° and 120.00°. The asymmetric unit holds U at (0.0000, 0.0000, 0.1173), U at (0.0000, 0.0000, 0.2910), Mn at (0.0000, 0.0000, 0.0000), Mn at (0.0000, 0.0000, 0.5000), Co at (0.0000, 0.0000, 0.4251), Si at (0.0511, 0.5255, 0.2956) and Si at (0.0572, 0.5286, 0.8713).


DFT (PBE-GGA) results for crystalline Rb2SnBr2F4 at its relaxed geometry.

The formation energy from raw total energies comes out at -1908 kJ/mol of formula units.

The structure belongs to space group I4/mmm (No. 139); the cell edges are 7.1131, 7.1131 and 8.9752 Å and the angles 90.00°, 90.00° and 90.00°. The asymmetric unit holds Rb at (0.0000, 0.5000, 0.2500), Sn at (0.0000, 0.0000, 0.0000), Br at (0.0000, 0.0000, 0.2885) and F at (0.2011, 0.2011, 0.0000).


DFT (PBE-GGA) results for crystalline Sr2ScPd2 at its relaxed geometry.

The value obtained for the energy relative to the elements is 0.04 eV/f.u.

The structure belongs to space group I4/mmm (No. 139); the cell edges are 4.6032, 4.6032 and 13.1514 Å and the angles 90.00°, 90.00° and 90.00°. The asymmetric unit holds Sr at (0.0000, 0.5000, 0.2500), Sc at (0.0000, 0.0000, 0.0000) and Pd at (0.0000, 0.0000, 0.4026).


DFT (PBE-GGA) results for crystalline PrGa4Co9 at its relaxed geometry.

The value obtained for the energy relative to the elements is -3.22 eV/f.u.

The structure belongs to space group I4/mcm (No. 140); the cell edges are 7.9861, 7.9861 and 11.7405 Å and the angles 90.00°, 90.00° and 90.00°. The asymmetric unit holds Pr at (0.0000, 0.0000, 0.2500), Ga at (0.1800, 0.3200, 0.1260), Co at (0.0000, 0.5000, 0.0000), Co at (0.0612, 0.1986, 0.5000) and Co at (0.1132, 0.3868, 0.3256).


DFT (PBE-GGA) results for crystalline AlOsPt2 at its relaxed geometry.

The value obtained for the energy relative to the elements is 0.52 eV/f.u.

The structure belongs to space group I-42d (No. 122); the cell edges are 3.8118, 3.8118 and 17.9775 Å and the angles 90.00°, 90.00° and 90.00°. The asymmetric unit holds Al at (0.0000, 0.0000, 0.0000), Os at (0.0000, 0.0000, 0.5000) and Pt at (0.2494, 0.2500, 0.6250).


DFT (PBE-GGA) results for crystalline Rb3Pu3MnS8 at its relaxed geometry.

The formation energy from raw total energies comes out at -1888 kJ/mol of formula units.

The structure belongs to space group P-1 (No. 2); the cell edges are 7.9133, 8.0436 and 8.9983 Å and the angles 64.18°, 64.11° and 60.59°. The asymmetric unit holds Rb at (0.0000, 0.0000, 0.0000), Rb at (0.0000, 0.5000, 0.0000), Rb at (0.5000, 0.0000, 0.0000), Pu at (0.0000, 0.5000, 0.5000), Pu at (0.5000, 0.0000, 0.5000), Pu at (0.5000, 0.5000, 0.5000), Mn at (0.0000, 0.0000, 0.5000), S at (0.2055, 0.2069, 0.3305), S at (0.2413, 0.7917, 0.6692), S at (0.2426, 0.7125, 0.3042) and S at (0.2688, 0.2667, 0.6923).